Computed, not measured: a geometry-optimized BaMnS2 structure at the PBE level of DFT.

abc: 4.8938 4.8938 4.8938
angles: 60.00 60.00 60.00
With the nearest neighbours (Å) after each atom.
Fractional positions:
S 0.2500 0.2500 0.2500  4 Ba 3.00, 4 Mn 3.00
S 0.7500 0.7500 0.7500  4 Ba 3.00, 4 Mn 3.00
Ba 0.5000 0.5000 0.5000  8 S 3.00
Mn 0.0000 0.0000 0.0000  8 S 3.00

Properties
V ... 20.72 Å³ per atom
Magnetization ... 0.00 μB/atom
Raw formation energy ... -20 kJ/mol of formula units
N(E_F) ... 1.96 states/eV per atom